# 1
Entry from Alexandria: a geometry-optimized BaCaInH2 structure (PBE-GGA).

Cell: 4.8644 4.8644 6.0596 Å, 90.00 90.00 90.00°
Positions (direct):
Ba  0.0000  0.0000  0.0000
Ca  0.5000  0.5000  0.0000
In  0.5000  0.5000  0.5000
H  0.0000  0.5000  0.5000
H  0.5000  0.0000  0.5000

**DFT total energy**: -2.1201 eV per atom
**Space-group type**: No. 123
**Crystal system**: tetragonal


# 2
Entry from Alexandria: a geometry-optimized TeRu2Br structure (PBE-GGA).

Cell: 3.1458 5.7780 8.5174 Å, 90.00 90.00 90.00°
Positions (direct):
Te  0.0000  0.0000  0.0000
Te  0.5000  0.5000  0.5000
Ru  0.0000  0.5000  0.2619
Ru  0.0000  0.5000  0.7381
Ru  0.5000  0.0000  0.2381
Ru  0.5000  0.0000  0.7619
Br  0.0000  0.0000  0.5000
Br  0.5000  0.5000  0.0000

**ΔE_f (raw)**: 0.84 eV per atom
**Space-group type**: No. 71
**Polymorph energy (0 for the lowest one)**: 0.462 eV/atom
**Crystal system**: orthorhombic


# 3
Entry from Alexandria: a geometry-optimized Hf3NbTc structure (PBE-GGA).

Cell: 4.9090 4.9090 4.9090 Å, 90.00 90.00 90.00°
Positions (direct):
Hf  0.0000  0.0000  0.5000
Hf  0.0000  0.5000  0.0000
Hf  0.5000  0.0000  0.0000
Nb  0.5000  0.5000  0.5000
Tc  0.0000  0.0000  0.0000

**ΔH_f (0 K)**: 725.1 meV/atom
**Space-group type**: No. 221
**Polymorph energy (0 for the lowest one)**: 0.878 eV/atom
**Crystal system**: cubic


# 4
Entry from Alexandria: a geometry-optimized NdGaHRh2 structure (PBE-GGA).

Cell: 5.8933 5.8933 7.3025 Å, 90.00 90.00 141.89°
Positions (direct):
Nd  0.0520  0.9480  0.7500
Nd  0.9480  0.0520  0.2500
Ga  0.2258  0.7742  0.2500
Ga  0.7742  0.2258  0.7500
H  0.5000  0.5000  0.0000
H  0.5000  0.5000  0.5000
Rh  0.3461  0.6539  0.5503
Rh  0.3461  0.6539  0.9497
Rh  0.6539  0.3461  0.0503
Rh  0.6539  0.3461  0.4497

**DFT total energy**: -5.8204 eV per atom
**Space-group type**: No. 63
**Crystal system**: orthorhombic


# 5
Entry from Alexandria: a geometry-optimized BaLiSn2Pd structure (PBE-GGA).

Cell: 4.8305 4.8305 11.1258 Å, 90.00 90.00 90.00°
Positions (direct):
Ba  0.0000  0.0000  0.0000
Ba  0.5000  0.5000  0.5000
Li  0.0000  0.5000  0.7500
Li  0.5000  0.0000  0.2500
Sn  0.0000  0.0000  0.3676
Sn  0.0000  0.0000  0.6324
Sn  0.5000  0.5000  0.1324
Sn  0.5000  0.5000  0.8676
Pd  0.0000  0.5000  0.2500
Pd  0.5000  0.0000  0.7500

**ΔH_f (0 K)**: -587.3 meV/atom
**Space-group type**: No. 119
**Polymorph energy (0 for the lowest one)**: 0.000 eV/atom
**Crystal system**: tetragonal


# 6
Entry from Alexandria: a geometry-optimized CsAcC structure (PBE-GGA).

Cell: 4.1336 4.1341 15.8211 Å, 84.09 82.76 60.00°
Positions (direct):
Cs  0.0000  0.0000  0.0000
Cs  0.4155  0.5316  0.6606
Ac  0.2521  0.2907  0.2124
Ac  0.8291  0.9078  0.4494
C  0.1380  0.2280  0.5137
C  0.6108  0.6376  0.1460

**ΔH_f (0 K)**: 605.6 meV/atom
**Space-group type**: No. 1
**Crystal system**: triclinic


# 7
Entry from Alexandria: a geometry-optimized Ba2Li3P2 structure (PBE-GGA).

Cell: 11.6184 4.4077 7.2080 Å, 90.00 110.70 90.00°
Positions (direct):
Ba  0.1291  0.0000  0.2687
Ba  0.3709  0.5000  0.7313
Ba  0.6291  0.5000  0.2687
Ba  0.8709  0.0000  0.7313
Li  0.0000  0.5000  0.5000
Li  0.1619  0.5000  0.9220
Li  0.3381  0.0000  0.0780
Li  0.5000  0.0000  0.5000
Li  0.6619  0.0000  0.9220
Li  0.8381  0.5000  0.0780
P  0.1570  0.0000  0.7341
P  0.3430  0.5000  0.2659
P  0.6570  0.5000  0.7341
P  0.8430  0.0000  0.2659

**ΔH_f (0 K)**: -663.6 meV/atom
**Space-group type**: No. 12
**Crystal system**: monoclinic